(1)
Below is a crystal of Cs4InSbCl12 relaxed with PBEsol, with properties calculated at the SCAN level.

Unit cell a=7.2976 b=7.2976 c=10.3854 alpha=90.00 beta=90.00 gamma=90.00
Positions (direct):
Cs (0.0000, 0.5000, 0.2257)
Cs (0.0000, 0.5000, 0.7743)
Cs (0.5000, 0.0000, 0.2257)
Cs (0.5000, 0.0000, 0.7743)
In (0.0000, 0.0000, 0.0000)
Sb (0.5000, 0.5000, 0.5000)
Cl (0.0000, 0.0000, 0.2441)
Cl (0.0000, 0.0000, 0.7559)
Cl (0.2450, 0.2450, 0.0000)
Cl (0.2450, 0.7550, 0.0000)
Cl (0.2679, 0.2679, 0.5000)
Cl (0.2679, 0.7321, 0.5000)
Cl (0.5000, 0.5000, 0.2691)
Cl (0.5000, 0.5000, 0.7309)
Cl (0.7321, 0.2679, 0.5000)
Cl (0.7321, 0.7321, 0.5000)
Cl (0.7550, 0.2450, 0.0000)
Cl (0.7550, 0.7550, 0.0000)

Values from the calculation:
- Raw formation energy: -37.34 kcal/mol of atoms

(2)
Below is a crystal of Cs2TlInCl6 relaxed with PBEsol, with properties calculated at the SCAN level.

Unit cell a=7.7411 b=7.7411 c=7.7411 alpha=60.00 beta=60.00 gamma=60.00
Positions (direct):
Cs (0.2500, 0.2500, 0.2500)
Cs (0.7500, 0.7500, 0.7500)
Tl (0.0000, 0.0000, 0.0000)
In (0.5000, 0.5000, 0.5000)
Cl (0.2703, 0.2703, 0.7297)
Cl (0.2703, 0.7297, 0.2703)
Cl (0.2703, 0.7297, 0.7297)
Cl (0.7297, 0.2703, 0.2703)
Cl (0.7297, 0.2703, 0.7297)
Cl (0.7297, 0.7297, 0.2703)

Values from the calculation:
- Raw formation energy: -38.64 kcal/mol of atoms

(3)
Below is a crystal of Cs2YInCl6 relaxed with PBEsol, with properties calculated at the SCAN level.

Unit cell a=7.8904 b=7.8904 c=7.8904 alpha=60.00 beta=60.00 gamma=60.00
Positions (direct):
Cs (0.2500, 0.2500, 0.2500)
Cs (0.7500, 0.7500, 0.7500)
Y (0.0000, 0.0000, 0.0000)
In (0.5000, 0.5000, 0.5000)
Cl (0.2333, 0.2333, 0.7667)
Cl (0.2333, 0.7667, 0.2333)
Cl (0.2333, 0.7667, 0.7667)
Cl (0.7667, 0.2333, 0.2333)
Cl (0.7667, 0.2333, 0.7667)
Cl (0.7667, 0.7667, 0.2333)

Values from the calculation:
- Raw formation energy: -49.11 kcal/mol of atoms

(4)
Below is a crystal of CsIr2Cl relaxed with PBEsol, with properties calculated at the SCAN level.

Unit cell a=4.7579 b=4.7579 c=4.7579 alpha=60.00 beta=60.00 gamma=60.00
Positions (direct):
Cs (0.0000, 0.0000, 0.0000)
Ir (0.2500, 0.2500, 0.2500)
Ir (0.7500, 0.7500, 0.7500)
Cl (0.5000, 0.5000, 0.5000)

Values from the calculation:
- Raw formation energy: 50.78 kcal/mol of atoms